DFT (PBE) results for crystalline PmTiPtO6 at its relaxed geometry.

Cell: 5.2179 5.2179 10.1294 Å, 90.00 90.00 120.00°
Closest atoms and distances in Å follow each position.
Element x y z (fractional)
1 Pm 0.0000 0.0000 0.0000  6 O 2.38
2 Pm 0.0000 0.0000 0.5000  6 O 2.38
3 Ti 0.3333 0.6667 0.2500  6 O 1.98
4 Ti 0.6667 0.3333 0.7500  6 O 1.98
5 Pt 0.3333 0.6667 0.7500  6 O 2.01
6 Pt 0.6667 0.3333 0.2500  6 O 2.01
7 O 0.0038 0.3646 0.1423  1 Ti 1.98, 1 Pt 2.01
8 O 0.0038 0.6392 0.3577  1 Ti 1.98, 1 Pt 2.01
9 O 0.3608 0.3646 0.3577  1 Ti 1.98, 1 Pt 2.01
10 O 0.3608 0.9962 0.1423  1 Ti 1.98, 1 Pt 2.01
11 O 0.3646 0.0038 0.6423  1 Ti 1.98, 1 Pt 2.01
12 O 0.3646 0.3608 0.8577  1 Ti 1.98, 1 Pt 2.01
13 O 0.6354 0.6392 0.1423  1 Ti 1.98, 1 Pt 2.01
14 O 0.6354 0.9962 0.3577  1 Ti 1.98, 1 Pt 2.01
15 O 0.6392 0.0038 0.8577  1 Ti 1.98, 1 Pt 2.01
16 O 0.6392 0.6354 0.6423  1 Ti 1.98, 1 Pt 2.01
17 O 0.9962 0.3608 0.6423  1 Ti 1.98, 1 Pt 2.01
18 O 0.9962 0.6354 0.8577  1 Ti 1.98, 1 Pt 2.01

Computed properties:
magnetic moment	0.9	μB/f.u.
DOS at the Fermi energy	14.14	states/eV per cell
raw formation energy	-48.7	kcal/mol of atoms
E	-7.494	eV per atom


DFT (PBE) results for crystalline Pm2Tl2PtO6 at its relaxed geometry.

Cell: 5.9840 5.9840 6.7664 Å, 97.32 97.32 119.92°
Closest atoms and distances in Å follow each position.
Element x y z (fractional)
1 Pm 0.1649 0.8351 0.0000  6 O 2.35-2.41
2 Pm 0.8351 0.1649 0.0000  6 O 2.35-2.41
3 Tl 0.3395 0.6605 0.5000  4 O 2.82-2.83
4 Tl 0.6605 0.3395 0.5000  4 O 2.82-2.83
5 Pt 0.5000 0.5000 0.0000  6 O 2.10
6 O 0.1521 0.4559 0.8369  1 Pt 2.10
7 O 0.2589 0.2589 0.1780  1 Pt 2.10
8 O 0.4559 0.1521 0.8369  1 Pt 2.10
9 O 0.5441 0.8479 0.1631  1 Pt 2.10
10 O 0.7411 0.7411 0.8220  1 Pt 2.10
11 O 0.8479 0.5441 0.1631  1 Pt 2.10

Computed properties:
magnetic moment	0.0	μB/f.u.
raw formation energy	-40.0	kcal/mol of atoms
E	-6.281	eV per atom


DFT (PBE) results for crystalline Pm2TlPtO6 at its relaxed geometry.

Cell: 5.6593 6.1845 10.1578 Å, 90.00 123.18 90.00°
Closest atoms and distances in Å follow each position.
Element x y z (fractional)
1 Pm 0.2138 0.0419 0.2271  6 O 2.35-2.49
2 Pm 0.2138 0.4581 0.7271  6 O 2.35-2.49
3 Pm 0.7862 0.5419 0.2729  6 O 2.35-2.49
4 Pm 0.7862 0.9581 0.7729  6 O 2.35-2.49
5 Tl 0.0000 0.0000 0.5000  4 O 2.38-2.65
6 Tl 0.0000 0.5000 0.0000  4 O 2.38-2.65
7 Pt 0.5000 0.0000 0.0000  6 O 2.04-2.06
8 Pt 0.5000 0.5000 0.5000  6 O 2.04-2.06
9 O 0.1621 0.1564 0.9772  1 Pt 2.04
10 O 0.1621 0.3436 0.4772  1 Pt 2.04
11 O 0.2283 0.7461 0.8841  1 Pt 2.06
12 O 0.2283 0.7539 0.3841  1 Pt 2.06
13 O 0.4278 0.1142 0.7920  1 Pt 2.05
14 O 0.4278 0.3858 0.2920  1 Pt 2.05
15 O 0.5722 0.6142 0.7080  1 Pt 2.05
16 O 0.5722 0.8858 0.2080  1 Pt 2.05
17 O 0.7717 0.2461 0.6159  1 Pt 2.06
18 O 0.7717 0.2539 0.1159  1 Pt 2.06
19 O 0.8378 0.6564 0.5228  1 Pt 2.04
20 O 0.8378 0.8436 0.0228  1 Pt 2.04

Computed properties:
magnetic moment	0.0	μB/f.u.
DOS at the Fermi energy	8.65	states/eV per cell
raw formation energy	-44.2	kcal/mol of atoms
E	-6.685	eV per atom


DFT (PBE) results for crystalline PmTl2PtO8 at its relaxed geometry.

Cell: 4.7951 5.0236 6.9727 Å, 90.07 90.01 91.47°
Closest atoms and distances in Å follow each position.
Element x y z (fractional)
1 Pm 0.0000 0.0000 0.0000  6 O 2.37-2.39
2 Tl 0.4997 0.4994 0.7402  6 O 2.25-2.32
3 Tl 0.5003 0.5006 0.2598  6 O 2.25-2.32
4 Pt 0.0000 0.0000 0.5000  6 O 1.97-1.98
5 O 0.1197 0.7686 0.2864  1 Pt 1.98
6 O 0.1206 0.7693 0.7132  1 Pt 1.98
7 O 0.3509 0.2115 0.4997  1 Pt 1.97
8 O 0.4323 0.2388 0.0003  2 Tl 2.25-2.26, 1 Pm 2.37, 1 O 2.50
9 O 0.5677 0.7612 0.9997  2 Tl 2.25-2.26, 1 Pm 2.37, 1 O 2.50
10 O 0.6491 0.7885 0.5003  1 Pt 1.97
11 O 0.8794 0.2307 0.2868  1 Pt 1.98
12 O 0.8803 0.2314 0.7136  1 Pt 1.98

Computed properties:
magnetic moment	1.5	μB/f.u.
DOS at the Fermi energy	8.11	states/eV per cell
raw formation energy	-20.7	kcal/mol of atoms
E	-5.498	eV per atom


DFT (PBE) results for crystalline PmTmPtO6 at its relaxed geometry.

Cell: 5.4993 5.4993 9.8797 Å, 90.00 90.00 120.00°
Closest atoms and distances in Å follow each position.
Element x y z (fractional)
1 Pm 0.0000 0.0000 0.0000  6 O 2.37
2 Pm 0.0000 0.0000 0.5000  6 O 2.37
3 Tm 0.3333 0.6667 0.2500  6 O 2.22
4 Tm 0.6667 0.3333 0.7500  6 O 2.22
5 Pt 0.3333 0.6667 0.7500  6 O 1.99
6 Pt 0.6667 0.3333 0.2500  6 O 1.99
7 O 0.0328 0.3699 0.6370  1 Pt 1.99, 1 Tm 2.22
8 O 0.0328 0.6629 0.8630  1 Pt 1.99, 1 Tm 2.22
9 O 0.3371 0.3699 0.8630  1 Pt 1.99, 1 Tm 2.22
10 O 0.3371 0.9672 0.6370  1 Pt 1.99, 1 Tm 2.22
11 O 0.3699 0.0328 0.1370  1 Pt 1.99, 1 Tm 2.22
12 O 0.3699 0.3371 0.3630  1 Pt 1.99, 1 Tm 2.22
13 O 0.6301 0.6629 0.6370  1 Pt 1.99, 1 Tm 2.22
14 O 0.6301 0.9672 0.8630  1 Pt 1.99, 1 Tm 2.22
15 O 0.6629 0.0328 0.3630  1 Pt 1.99, 1 Tm 2.22
16 O 0.6629 0.6301 0.1370  1 Pt 1.99, 1 Tm 2.22
17 O 0.9672 0.3371 0.1370  1 Pt 1.99, 1 Tm 2.22
18 O 0.9672 0.6301 0.3630  1 Pt 1.99, 1 Tm 2.22

Computed properties:
magnetic moment	1.6	μB/f.u.
DOS at the Fermi energy	13.81	states/eV per cell
raw formation energy	-46.8	kcal/mol of atoms
E	-7.030	eV per atom